# 1
## KCu2P2Se6 (PBE)

Data for a relaxed KCu2P2Se6 crystal.

```
KCu2P2Se6
1.0
-4.5081 -1.7802 4.4590
-1.8444 -7.8902 6.2199
3.7338 7.2739 2.2526
P Se Cu K
2 6 2 1
Direct
0.8376 0.1711 0.1394
0.1624 0.8289 0.8606
0.9996 0.3284 0.2410
0.6198 0.6384 0.9679
0.3802 0.3616 0.0321
0.1253 0.9259 0.6676
0.8747 0.0741 0.3324
0.0004 0.6716 0.7590
0.2111 0.6834 0.0764
0.7889 0.3166 0.9236
0.5000 0.0000 0.5000
```

Summary:
Raw formation energy = -0.266 eV/atom
Density of states at the Fermi level = 7.3 states/eV/cell
Size of the total moment = 0.0 Bohr magnetons per cell

=====

# 2
## La2Zn5Hg (PBE)

Data for a relaxed La2Zn5Hg crystal.

```
La2Zn5Hg
1.0
-4.3458 0.8513 0.8579
3.7806 -0.5817 7.8700
1.7333 9.0158 -0.1663
La Zn Hg
4 10 2
Direct
0.0000 0.0000 0.5000
0.2077 0.4153 0.2500
0.7923 0.5847 0.7500
0.0000 0.0000 0.0000
0.6557 0.3114 0.0161
0.3443 0.6886 0.5161
0.1832 0.3663 0.6087
0.3979 0.7958 0.2500
0.8168 0.6337 0.3913
0.3443 0.6886 0.9839
0.6021 0.2042 0.7500
0.8168 0.6337 0.1087
0.6557 0.3114 0.4839
0.1832 0.3663 0.8913
0.5562 0.1124 0.2500
0.4438 0.8876 0.7500
```

Summary:
Density of states at the Fermi level = 11.8 states/eV/cell
E = -2.43 eV per atom
Size of the total moment = 0.0 Bohr magnetons per cell

=====

# 3
## DyErPu2 (PBE)

Data for a relaxed DyErPu2 crystal.

```
DyErPu2
1.0
3.3594 0.0000 0.0000
1.6797 2.9093 0.0000
1.6797 0.9698 12.0917
Pu Er Dy
2 1 1
Direct
0.0861 0.0861 0.7417
0.9139 0.9139 0.2583
0.0000 0.0000 0.0000
0.5000 0.5000 0.5000
```

Summary:
Density of states at the Fermi level = 17.3 states/eV/cell
ΔE to the lowest computed polymorph = 0.175 eV per atom
Size of the total moment = 12.0 Bohr magnetons per cell

=====

# 4
## HfMgTaO6 (PBE)

Data for a relaxed HfMgTaO6 crystal.

```
HfMgTaO6
1.0
-3.2695 -1.7448 3.0930
3.5324 -2.0292 2.5894
0.7134 7.8677 5.1924
Mg Ta O Hf
2 2 12 2
Direct
0.0000 0.0000 0.6659
0.5000 0.5000 0.1659
0.0000 0.0000 0.3324
0.5000 0.5000 0.8324
0.2937 0.2937 0.3373
0.6965 0.6965 0.9897
0.1922 0.8078 0.1735
0.7063 0.7063 0.3373
0.7937 0.2063 0.8373
0.3078 0.3078 0.6735
0.1965 0.8035 0.4897
0.8035 0.1965 0.4897
0.8078 0.1922 0.1735
0.6922 0.6922 0.6735
0.2063 0.7937 0.8373
0.3035 0.3035 0.9897
0.0000 0.0000 0.0005
0.5000 0.5000 0.5005
```

Summary:
Raw formation energy = -2.800 eV/atom
Density of states at the Fermi level = 11.4 states/eV/cell
Size of the total moment = 1.5 Bohr magnetons per cell

=====

# 5
## SnTe2MoI (PBE)

Data for a relaxed SnTe2MoI crystal.

```
SnTe2MoI
1.0
5.3982 0.0000 0.0000
0.0000 5.3982 0.0000
0.0000 0.0000 5.5469
Te I Mo Sn
2 1 1 1
Direct
0.5000 0.0000 0.0000
0.0000 0.5000 0.0000
0.0000 0.0000 0.5000
0.0000 0.0000 0.0000
0.5000 0.5000 0.5000
```

Summary:
Raw formation energy = 0.405 eV/atom
Density of states at the Fermi level = 4.3 states/eV/cell
ΔE to the lowest computed polymorph = 0.000 eV per atom
Size of the total moment = 2.6 Bohr magnetons per cell

=====

# 6
## Ac2Rh4Pb5 (PBE)

Data for a relaxed Ac2Rh4Pb5 crystal.

```
Ac2Rh4Pb5
1.0
-5.6176 1.3116 2.5420
-1.2798 -2.7913 6.4286
-0.0048 6.5898 4.4058
Ac Rh Pb
2 4 5
Direct
0.1616 0.0000 0.6767
0.8384 0.0000 0.3233
0.7653 0.7812 0.6881
0.2347 0.2188 0.3119
0.5465 0.2188 0.6881
0.4535 0.7812 0.3119
0.5000 0.0000 0.0000
0.7500 0.5000 0.5000
0.0000 0.5000 0.0000
0.2500 0.5000 0.5000
0.5000 0.5000 0.0000
```

Summary:
Density of states at the Fermi level = 10.4 states/eV/cell
E = -5.37 eV per atom
Size of the total moment = 0.0 Bohr magnetons per cell

=====

# 7
## Ca2Al3Ir (PBE)

Data for a relaxed Ca2Al3Ir crystal.

```
Ca2Al3Ir
1.0
4.8981 -0.1569 -2.5769
-3.1184 4.5696 -0.2252
-0.2361 0.1074 5.4600
Ca Al Ir
2 3 1
Direct
0.7447 0.3723 0.1169
0.2553 0.6277 0.8831
0.0000 0.0000 0.5000
0.5000 0.5000 0.5000
0.5000 0.0000 0.5000
0.0000 0.0000 0.0000
```

Summary:
Density of states at the Fermi level = 3.6 states/eV/cell
E = -4.52 eV per atom
Size of the total moment = 0.0 Bohr magnetons per cell

=====

# 8
## CoRh5 (PBE)

Data for a relaxed CoRh5 crystal.

```
CoRh5
1.0
-5.9927 3.2793 2.0027
4.1033 -5.0027 -2.9687
0.0645 -2.1724 3.7500
Co Rh
1 5
Direct
0.9997 0.0003 0.0000
0.6640 0.3360 0.0000
0.2215 0.7785 0.5000
0.8904 0.1096 0.5000
0.5532 0.4468 0.5000
0.3378 0.6622 0.0000
```

Summary:
Density of states at the Fermi level = 9.9 states/eV/cell
E = -7.25 eV per atom
Size of the total moment = 2.8 Bohr magnetons per cell

=====

# 9
## MgTl3Hg3 (PBE)

Data for a relaxed MgTl3Hg3 crystal.

```
MgTl3Hg3
1.0
-2.9391 6.8893 -4.0098
-2.2389 -4.8151 -6.6319
-7.6504 -1.2376 3.4813
Mg Hg Tl
2 6 6
Direct
0.5000 0.5000 0.5000
0.0000 0.0000 0.0000
0.2500 0.0000 0.5000
0.0000 0.5000 0.2500
0.5000 0.2500 0.0000
0.5000 0.7500 0.0000
0.0000 0.5000 0.7500
0.7500 0.0000 0.5000
0.2500 0.5000 0.0000
0.0000 0.2500 0.5000
0.5000 0.0000 0.2500
0.7500 0.5000 0.0000
0.5000 0.0000 0.7500
0.0000 0.7500 0.5000
```

Summary:
Density of states at the Fermi level = 9.0 states/eV/cell
ΔE to the lowest computed polymorph = 0.375 eV per atom
Size of the total moment = 0.0 Bohr magnetons per cell

=====

# 10
## ReHF2 (PBE)

Data for a relaxed ReHF2 crystal.

```
ReHF2
1.0
0.0000 2.6379 2.6379
2.6379 0.0000 2.6379
2.6379 2.6379 0.0000
H Re F
1 1 2
Direct
0.0000 0.0000 0.0000
0.5000 0.5000 0.5000
0.7500 0.7500 0.7500
0.2500 0.2500 0.2500
```

Summary:
Density of states at the Fermi level = 1.1 states/eV/cell
ΔE to the lowest computed polymorph = 0.838 eV per atom
Size of the total moment = 0.0 Bohr magnetons per cell

=====

# 11
## NbAlZn3 (PBE)

Data for a relaxed NbAlZn3 crystal.

```
NbAlZn3
1.0
-1.9835 4.6124 -0.3730
-3.8251 -1.4059 2.9563
2.6042 1.4481 4.0582
Zn Nb Al
3 1 1
Direct
0.5000 0.0000 0.0000
0.0000 0.0000 0.5000
0.0000 0.5000 0.0000
0.0000 0.0000 0.0000
0.5000 0.5000 0.5000
```

Summary:
Density of states at the Fermi level = 6.5 states/eV/cell
ΔE to the lowest computed polymorph = 0.219 eV per atom
Size of the total moment = 0.0 Bohr magnetons per cell

=====

# 12
## Li2Ac3Hg9 (PBE)

Data for a relaxed Li2Ac3Hg9 crystal.

```
Li2Ac3Hg9
1.0
4.9615 0.0000 -1.0154
-0.9748 8.6747 -4.7627
-0.7077 -0.7439 9.1709
Ac Hg Li
3 9 2
Direct
0.2848 0.2848 0.5696
0.7152 0.7152 0.4304
0.0000 0.0000 0.0000
0.1412 0.4337 0.2825
0.8588 0.1512 0.7175
0.8588 0.5663 0.7175
0.6427 0.2887 0.2854
0.3573 0.7113 0.7146
0.6427 0.9966 0.2854
0.3573 0.0034 0.7146
0.0000 0.5000 0.0000
0.1412 0.8488 0.2825
0.5000 0.3292 0.0000
0.5000 0.6708 0.0000
```

Summary:
Density of states at the Fermi level = 9.8 states/eV/cell
E = -1.74 eV per atom
Size of the total moment = 0.0 Bohr magnetons per cell

=====

Which of these has the highest density of states at the Fermi level?
DyErPu2